Material: LiAcPbO4
Method: DFT, PBE
State: optimized geometry

```
data_LiAcPbO4
_cell_length_a 7.3349
_cell_length_b 7.7176
_cell_length_c 7.3693
_cell_angle_alpha 90.00
_cell_angle_beta 90.00
_cell_angle_gamma 90.00
_space_group_name_H-M_alt 'I m m a'
_space_group_IT_number 74
_space_group_name_Hall '-I 2b 2'
loop_
_atom_site_label
_atom_site_type_symbol
_atom_site_fract_x
_atom_site_fract_y
_atom_site_fract_z
_atom_site_occupancy
Li1 Li 0.0000 0.0000 0.0000 1
Ac1 Ac 0.0000 0.2500 0.3338 1
Pb1 Pb 0.2500 0.2500 0.7500 1
O1 O 0.0000 0.0686 0.7211 1
O2 O 0.1938 0.2500 0.0376 1
```

Calculated values
Its total energy is -6.199 eV per atom. The uncorrected formation energy comes out at -1.98 eV per atom. The calculation puts the spin magnetization at 0.000 μB per cell. As for the mass density: 8.04 g cm⁻³.